An optimized crystal structure of SmCoF. Source: the Alexandria database, functional PBE with a Hubbard U.

a = 3.366 Å, b = 3.366 Å, c = 8.296 Å
α = 90.00°, β = 90.00°, γ = 90.00°
Sites, in units of the cell vectors:
1 Co 0.000 0.500 0.543
2 Co 0.500 0.000 0.457
3 Sm 0.000 0.500 0.222
4 Sm 0.500 0.000 0.778
5 F 0.500 0.000 0.090
6 F 0.000 0.500 0.910

Summary:
Energy ... -0.386 Ry per atom
Magnetic moment ... 2.16 μB/cell
Symmetry ... P4/nmm, No. 129